DFT (GGA-PBE) results for crystalline TaHgCl2 at its relaxed geometry.

Values from the calculation:
Energy relative to the elements, uncorrected in eV/atom: 0.569
Density of states at the Fermi level in states/eV/cell: 9.3
Energy relative to the lowest polymorph listed for this composition in eV/f.u.: 4.587
Density in g cm⁻³: 9.04

abc: 6.9275 6.9275 6.9275
angles: 90.00 90.00 90.00
Space group Fm-3m (No. 225)
Inequivalent atoms, fractional coordinates:
1 Ta 0.0000 0.0000 0.0000
2 Hg 0.0000 0.0000 0.5000
3 Cl 0.2500 0.2500 0.2500